VNiP2O8: relaxed, PBE+U.

Cell: 5.393 5.393 5.393 Å, 106.58 106.58 115.43°
Atoms (fractional coordinates):
V  0.000  0.000  0.000
Ni  0.250  0.750  0.500
P  0.500  0.500  0.000
P  0.750  0.250  0.500
O  0.318  0.140  0.821
O  0.318  0.497  0.179
O  0.395  0.083  0.312
O  0.503  0.682  0.821
O  0.771  0.083  0.688
O  0.860  0.682  0.179
O  0.917  0.229  0.312
O  0.917  0.605  0.688

Distance to the lowest polymorph of the same formula: 0.121 eV per atom